Compound: NaBiPb5
Source: Alexandria via LeMat-Bulk
Functional: PBE-GGA
Structure: relaxed

The space group is Cmmm (No. 65) and the conventional cell measures 8.1952, 8.2027 and 6.9815 Å, with angles of 90.00, 90.00 and 90.00 degrees. Symmetry generates all atoms from Na at (0.0000, 0.0000, 0.0000), Bi at (0.0000, 0.0000, 0.5000), Pb at (0.0000, 0.5000, 0.0000) and Pb at (0.2500, 0.2500, 0.2564).

The magnetic moment is 0.0 Bohr magnetons per cell. The value obtained for the calculated formation energy is 25 meV/atom. The value obtained for the density of states at the Fermi level is 3.99 states/eV/f.u. The total energy is -47.14 eV per cell. The crystal system is orthorhombic.